This record from Alexandria describes a geometry-optimized Na3InAu structure. The functional is PBE.

Unit cell a=5.7818 b=5.7818 c=5.7818 alpha=90.00 beta=90.00 gamma=90.00
Last column: nearest neighbours and their distance in Å.
Positions (direct):
Au 0.5000 0.5000 0.5000  12 Na 4.09
Na 0.0000 0.0000 0.5000  2 In 2.89
Na 0.0000 0.5000 0.0000  2 In 2.89
Na 0.5000 0.0000 0.0000  2 In 2.89
In 0.0000 0.0000 0.0000  6 Na 2.89

Values from the calculation:
Total magnetic moment, μB/cell: 0.00
Density of states at the Fermi level, states/eV per atom: 0.80
Polymorph energy (0 for the lowest one), kJ/mol of atoms: 54.8
E_form, meV/atom: 380.1

=====

This record from Alexandria describes a geometry-optimized Na6In2Au structure. The functional is PBE.

Unit cell a=5.4397 b=5.4397 c=10.8033 alpha=75.42 beta=75.42 gamma=60.00
Last column: nearest neighbours and their distance in Å.
Positions (direct):
Na 0.5763 0.5763 0.2712  3 In 3.14, 3 Na 3.52
Na 0.3057 0.3057 0.0830  3 Au 3.26, 4 Na 3.52-3.58
Na 0.4237 0.4237 0.7288  3 In 3.14, 3 Na 3.52
Na 0.1920 0.1920 0.4239  4 In 3.24-3.56, 7 Na 3.51-3.52
Na 0.8080 0.8080 0.5761  4 In 3.24-3.56, 7 Na 3.51-3.52
Na 0.6943 0.6943 0.9170  3 Au 3.26, 4 Na 3.52-3.58
Au 0.0000 0.0000 0.0000  2 In 2.71
In 0.0874 0.0874 0.7377  1 Au 2.71
In 0.9126 0.9126 0.2623  1 Au 2.71

Values from the calculation:
Total magnetic moment, μB/cell: 0.00
Density of states at the Fermi level, states/eV per atom: 0.61
E_form, meV/atom: -127.1

=====

This record from Alexandria describes a geometry-optimized Na5InAu6 structure. The functional is PBE.

Unit cell a=5.2684 b=5.9609 c=8.4347 alpha=90.00 beta=71.80 gamma=90.00
Last column: nearest neighbours and their distance in Å.
Positions (direct):
Au 0.5000 0.7500 0.0000  2 Au 2.98, 2 In 3.03, 6 Na 3.03-3.12
Au 0.1594 0.2509 0.6811  7 Na 2.96-3.10, 1 In 2.96, 2 Au 2.97-2.99
Au 0.8406 0.7491 0.3189  7 Na 2.96-3.10, 1 In 2.96, 2 Au 2.97-2.99
Au 0.5000 0.2500 0.0000  2 Au 2.98, 2 In 3.03, 6 Na 3.03-3.12
Au 0.8406 0.2509 0.3189  7 Na 2.96-3.10, 1 In 2.96, 2 Au 2.97-2.99
Au 0.1594 0.7491 0.6811  7 Na 2.96-3.10, 1 In 2.96, 2 Au 2.97-2.99
In 0.0000 0.0000 0.0000  8 Au 2.96-3.03, 2 Na 2.98
Na 0.3293 0.5000 0.3414  2 Na 2.98, 8 Au 3.03-3.12
Na 0.0000 0.5000 0.0000  8 Au 2.96-3.03, 2 In 2.98
Na 0.6707 0.5000 0.6586  2 Na 2.98, 8 Au 3.03-3.12
Na 0.6709 0.0000 0.6583  2 Na 2.98, 8 Au 3.03-3.12
Na 0.3291 0.0000 0.3417  2 Na 2.98, 8 Au 3.03-3.12

Values from the calculation:
Total magnetic moment, μB/cell: 0.00
Density of states at the Fermi level, states/eV per atom: 0.28
E_form, meV/atom: -262.7

=====

This record from Alexandria describes a geometry-optimized NaIn2Au3 structure. The functional is PBE.

Unit cell a=6.2422 b=6.9169 c=6.9169 alpha=107.34 beta=90.00 gamma=90.00
Last column: nearest neighbours and their distance in Å.
Positions (direct):
In 0.0000 0.7861 0.2139  4 Au 2.77-2.86
In 0.0000 0.2139 0.7861  4 Au 2.77-2.86
In 0.5000 0.7861 0.2139  4 Au 2.77-2.86
In 0.5000 0.2139 0.7861  4 Au 2.77-2.86
Au 0.2500 0.9761 0.9761  2 Au 2.79, 4 In 2.86, 1 Na 3.04
Au 0.2500 0.5539 0.8234  2 In 2.77, 2 Au 2.79-3.00
Au 0.7500 0.4461 0.1766  2 In 2.77, 2 Au 2.79-3.00
Au 0.2500 0.8234 0.5539  2 In 2.77, 2 Au 2.79-3.00
Au 0.7500 0.1766 0.4461  2 In 2.77, 2 Au 2.79-3.00
Au 0.7500 0.0239 0.0239  2 Au 2.79, 4 In 2.86, 1 Na 3.04
Na 0.7500 0.6527 0.6527  3 Au 3.04-3.18
Na 0.2500 0.3473 0.3473  3 Au 3.04-3.18

Values from the calculation:
Total magnetic moment, μB/cell: 0.00
Density of states at the Fermi level, states/eV per atom: 0.33
E_form, meV/atom: -215.6

=====

This record from Alexandria describes a geometry-optimized NaInAu4 structure. The functional is PBE.

Unit cell a=5.6228 b=5.6228 c=5.6228 alpha=60.00 beta=60.00 gamma=60.00
Last column: nearest neighbours and their distance in Å.
Positions (direct):
In 0.2500 0.2500 0.2500  12 Au 3.30, 4 Na 3.44
Au 0.1241 0.6253 0.6253  6 Au 2.80-2.82
Au 0.6253 0.6253 0.6253  6 Au 2.80-2.82
Au 0.6253 0.6253 0.1241  6 Au 2.80-2.82
Au 0.6253 0.1241 0.6253  6 Au 2.80-2.82
Na 0.0000 0.0000 0.0000  12 Au 3.30, 4 In 3.44

Values from the calculation:
Total magnetic moment, μB/cell: 0.00
Density of states at the Fermi level, states/eV per atom: 0.60
Polymorph energy (0 for the lowest one), kJ/mol of atoms: 0.2
E_form, meV/atom: -205.3

=====

This record from Alexandria describes a geometry-optimized Na12InAu7 structure. The functional is PBE.

Unit cell a=9.5219 b=8.3495 c=8.3495 alpha=73.55 beta=67.66 gamma=112.34
Last column: nearest neighbours and their distance in Å.
Positions (direct):
Au 0.9129 0.9048 0.4118  6 Na 2.87-3.21, 1 Au 2.94, 1 In 2.99
Au 0.5000 0.0000 0.0000  12 Na 3.31-3.36
Au 0.6753 0.5882 0.3166  6 Na 2.87-3.21, 1 Au 2.94, 1 In 2.99
Au 0.0082 0.6834 0.9048  6 Na 2.87-3.21, 1 Au 2.94, 1 In 2.99
Au 0.9918 0.3166 0.0952  6 Na 2.87-3.21, 1 Au 2.94, 1 In 2.99
Au 0.0871 0.0952 0.5882  6 Na 2.87-3.21, 1 Au 2.94, 1 In 2.99
Au 0.3247 0.4118 0.6834  6 Na 2.87-3.21, 1 Au 2.94, 1 In 2.99
Na 0.9457 0.3339 0.7715  3 Au 2.87-3.21, 1 Na 3.20
Na 0.3592 0.6918 0.8387  3 Au 2.95-3.14, 1 Na 3.20
Na 0.0543 0.6661 0.2285  3 Au 2.87-3.21, 1 Na 3.20
Na 0.3882 0.1055 0.6661  3 Au 2.87-3.21, 1 Na 3.20
Na 0.1980 0.8387 0.4695  3 Au 2.95-3.14, 1 Na 3.20
Na 0.8020 0.1613 0.5305  3 Au 2.95-3.14, 1 Na 3.20
Na 0.2827 0.2285 0.1055  3 Au 2.87-3.21, 1 Na 3.20
Na 0.3325 0.5305 0.3082  3 Au 2.95-3.14, 1 Na 3.20
Na 0.6118 0.8945 0.3339  3 Au 2.87-3.21, 1 Na 3.20
Na 0.6675 0.4695 0.6918  3 Au 2.95-3.14, 1 Na 3.20
Na 0.7173 0.7715 0.8945  3 Au 2.87-3.21, 1 Na 3.20
Na 0.6408 0.3082 0.1613  3 Au 2.95-3.14, 1 Na 3.20
In 0.0000 0.0000 0.0000  6 Au 2.99, 6 Na 3.24

Values from the calculation:
Total magnetic moment, μB/cell: 0.00
Density of states at the Fermi level, states/eV per atom: 0.39
E_form, meV/atom: -203.8

=====

This record from Alexandria describes a geometry-optimized Na3In4Au structure. The functional is PBE.

Unit cell a=6.7207 b=6.7207 c=6.7207 alpha=97.76 beta=108.18 gamma=123.58
Last column: nearest neighbours and their distance in Å.
Positions (direct):
In 0.1353 0.1992 0.3345  1 Au 2.74
In 0.1353 0.8008 0.9360  1 Au 2.74
In 0.6537 0.2605 0.3932  1 Au 2.99, 4 In 3.04-3.31
In 0.1327 0.7395 0.3932  1 Au 2.99, 4 In 3.04-3.31
Au 0.2199 0.5000 0.7199  4 In 2.74-2.99, 2 Na 3.02
Na 0.5435 0.6821 0.2257  1 Au 3.02, 1 Na 3.22, 2 In 3.26
Na 0.7871 0.0000 0.7871  2 Au 3.22, 4 In 3.26-3.52, 2 Na 3.40
Na 0.5435 0.3179 0.8614  1 Au 3.02, 1 Na 3.22, 2 In 3.26

Values from the calculation:
Total magnetic moment, μB/cell: 0.00
Density of states at the Fermi level, states/eV per atom: 0.19
E_form, meV/atom: -99.6

=====

This record from Alexandria describes a geometry-optimized Na2In12Au structure. The functional is PBE.

Unit cell a=6.6859 b=6.6859 c=18.8413 alpha=90.00 beta=90.00 gamma=90.00
Last column: nearest neighbours and their distance in Å.
Positions (direct):
In 0.0000 0.0000 0.1879  5 In 2.84-3.02
In 0.7501 0.7499 0.0881  2 Au 2.89, 2 In 3.02
In 0.1717 0.6717 0.5686  4 In 2.98-3.25
In 0.6717 0.8283 0.5686  4 In 2.98-3.25
In 0.7499 0.2499 0.0881  2 Au 2.89, 2 In 3.02
In 0.5000 0.5000 0.3387  5 In 2.84-3.03
In 0.3283 0.1717 0.5686  4 In 2.98-3.25
In 0.7501 0.2501 0.9119  2 Au 2.89, 2 In 3.02
In 0.6717 0.1717 0.4314  4 In 2.98-3.25
In 0.0000 0.0000 0.8121  5 In 2.84-3.02
In 0.0000 0.0000 0.6613  5 In 2.84-3.03
In 0.7499 0.7501 0.9119  2 Au 2.89, 2 In 3.02
In 0.2499 0.7499 0.9119  2 Au 2.89, 2 In 3.02
In 0.5000 0.5000 0.8121  5 In 2.84-3.02
In 0.8283 0.6717 0.4314  4 In 2.98-3.25
In 0.5000 0.5000 0.6613  5 In 2.84-3.03
In 0.5000 0.5000 0.1879  5 In 2.84-3.02
In 0.8283 0.3283 0.5686  4 In 2.98-3.25
In 0.0000 0.0000 0.3387  5 In 2.84-3.03
In 0.1717 0.3283 0.4314  4 In 2.98-3.25
In 0.2501 0.7501 0.0881  2 Au 2.89, 2 In 3.02
In 0.2501 0.2499 0.9119  2 Au 2.89, 2 In 3.02
In 0.2499 0.2501 0.0881  2 Au 2.89, 2 In 3.02
In 0.3283 0.8283 0.4314  4 In 2.98-3.25
Na 0.5000 0.0000 0.2574  14 In 3.59-3.97
Na 0.5000 0.0000 0.7426  14 In 3.59-3.97
Na 0.0000 0.5000 0.7426  14 In 3.59-3.97
Na 0.0000 0.5000 0.2574  14 In 3.59-3.97
Au 0.0000 0.5000 0.0000  8 In 2.89
Au 0.5000 0.0000 0.0000  8 In 2.89

Values from the calculation:
Total magnetic moment, μB/cell: 0.00
Density of states at the Fermi level, states/eV per atom: 0.43
E_form, meV/atom: -60.0

=====

This record from Alexandria describes a geometry-optimized Na7In2Au2 structure. The functional is PBE.

Unit cell a=5.2282 b=8.0754 c=8.0754 alpha=71.66 beta=70.88 gamma=70.88
Last column: nearest neighbours and their distance in Å.
Positions (direct):
Au 0.0000 0.2623 0.7377  2 In 2.86, 6 Na 3.06-3.15
Au 0.0000 0.7377 0.2623  2 In 2.86, 6 Na 3.06-3.15
In 0.1426 0.3525 0.3525  2 Au 2.86
In 0.8574 0.6475 0.6475  2 Au 2.86
Na 0.3565 0.8584 0.4295  2 Au 3.13-3.15, 3 Na 3.19-3.45, 2 In 3.29-3.33
Na 0.6435 0.5705 0.1416  2 Au 3.13-3.15, 3 Na 3.19-3.45, 2 In 3.29-3.33
Na 0.3565 0.4295 0.8584  2 Au 3.13-3.15, 3 Na 3.19-3.45, 2 In 3.29-3.33
Na 0.1497 0.8500 0.8500  2 Au 3.06, 4 Na 3.16-3.19
Na 0.5000 0.0000 0.0000  8 Na 3.16-3.20
Na 0.8503 0.1500 0.1500  2 Au 3.06, 4 Na 3.16-3.19
Na 0.6435 0.1416 0.5705  2 Au 3.13-3.15, 3 Na 3.19-3.45, 2 In 3.29-3.33

Values from the calculation:
Total magnetic moment, μB/cell: 0.00
Density of states at the Fermi level, states/eV per atom: 0.43
E_form, meV/atom: -154.1

=====

This record from Alexandria describes a geometry-optimized Na3In2Au7 structure. The functional is PBE.

Unit cell a=5.7338 b=5.7338 c=9.8238 alpha=73.03 beta=73.03 gamma=60.00
Last column: nearest neighbours and their distance in Å.
Positions (direct):
In 0.3328 0.3328 0.0015  6 Au 2.87-2.91
In 0.6672 0.6672 0.9985  6 Au 2.87-2.91
Na 0.8578 0.8578 0.4267  12 Au 3.27-3.38, 3 Na 3.58
Na 0.0000 0.0000 0.0000  6 In 3.31
Na 0.1422 0.1422 0.5733  12 Au 3.27-3.38, 3 Na 3.58
Au 0.9179 0.4131 0.2558  5 Au 2.81-2.89, 2 In 2.87-2.91
Au 0.5000 0.5000 0.5000  6 Au 2.81
Au 0.4131 0.9179 0.2558  5 Au 2.81-2.89, 2 In 2.87-2.91
Au 0.5869 0.0821 0.7442  5 Au 2.81-2.89, 2 In 2.87-2.91
Au 0.5869 0.5869 0.7442  5 Au 2.81-2.89, 2 In 2.87-2.91
Au 0.4131 0.4131 0.2558  5 Au 2.81-2.89, 2 In 2.87-2.91
Au 0.0821 0.5869 0.7442  5 Au 2.81-2.89, 2 In 2.87-2.91

Values from the calculation:
Total magnetic moment, μB/cell: 0.00
Density of states at the Fermi level, states/eV per atom: 0.30
E_form, meV/atom: -275.3

=====

This record from Alexandria describes a geometry-optimized Na2InAu structure. The functional is PBE.

Unit cell a=4.3556 b=5.7944 c=5.7945 alpha=59.75 beta=67.96 gamma=67.97
Last column: nearest neighbours and their distance in Å.
Positions (direct):
In 0.2500 0.2057 0.2943  2 Au 2.75
Au 0.7500 0.9135 0.5865  2 In 2.75
Na 0.4519 0.4882 0.6075  3 Au 3.12-3.14, 4 In 3.34-3.49
Na 0.0481 0.8925 0.0118  3 Au 3.12-3.14, 4 In 3.34-3.49

Values from the calculation:
Total magnetic moment, μB/cell: 0.00
Density of states at the Fermi level, states/eV per atom: 0.48
E_form, meV/atom: -181.7

=====

This record from Alexandria describes a geometry-optimized Na2InAu structure. The functional is PBE.

Unit cell a=8.6502 b=8.6502 c=6.7430 alpha=50.10 beta=50.10 gamma=90.00
Last column: nearest neighbours and their distance in Å.
Positions (direct):
In 0.2500 0.7500 0.5000  2 Au 2.84
In 0.5000 0.5000 0.0000  2 Au 2.84
Au 0.7500 0.2500 0.5000  2 In 2.84, 4 Na 2.89
Au 0.0000 0.0000 0.0000  2 In 2.84, 4 Na 2.89
Na 0.6693 0.1250 0.2500  2 Au 2.89, 2 Na 2.94
Na 0.0807 0.6250 0.2500  2 Au 2.89, 2 Na 2.94
Na 0.8750 0.9193 0.7500  2 Au 2.89, 2 Na 2.94
Na 0.3750 0.3307 0.7500  2 Au 2.89, 2 Na 2.94

Values from the calculation:
Total magnetic moment, μB/cell: 0.00
Density of states at the Fermi level, states/eV per atom: 0.22
E_form, meV/atom: -99.6

=====

Question: Which of these has the highest E_form?
Answer: Na3InAu

=====

Question: Which formula does entry 6 have?
Answer: Na12InAu7